Record 1
# TcMo3W

TcMo3W after structural relaxation (GGA-PBE, Alexandria).

Calculated values
* E_form: 1850 meV/atom
* V: 97.59 Å³/cell
* E: -0.3422 hartree per atom
* energy above the most stable polymorph in this dataset: 1.6927 eV/atom
* symmetry: Pm-3m

Cell: 4.6041 4.6041 4.6041 Å, 90.00 90.00 90.00°
Sites, in units of the cell vectors:
Tc  0.0000  0.0000  0.0000
Mo  0.0000  0.0000  0.5000
Mo  0.0000  0.5000  0.0000
Mo  0.5000  0.0000  0.0000
W  0.5000  0.5000  0.5000

Record 2
# SiSnW2

SiSnW2 after structural relaxation (GGA-PBE, Alexandria).

Calculated values
* formation energy without anion corrections: 0.708 eV/atom
* V: 299.61 Å³/cell
* E: -0.2986 hartree per atom
* energy above the most stable polymorph in this dataset: 0.1395 eV/atom
* symmetry: I-42d

Cell: 3.9964 3.9964 18.7591 Å, 90.00 90.00 90.00°
Sites, in units of the cell vectors:
Si  0.0000  0.0000  0.0000
Si  0.0000  0.5000  0.2500
Si  0.5000  0.0000  0.7500
Si  0.5000  0.5000  0.5000
Sn  0.0000  0.0000  0.5000
Sn  0.0000  0.5000  0.7500
Sn  0.5000  0.0000  0.2500
Sn  0.5000  0.5000  0.0000
W  0.2000  0.2500  0.1250
W  0.2500  0.7000  0.3750
W  0.2500  0.8000  0.8750
W  0.3000  0.2500  0.6250
W  0.7000  0.7500  0.6250
W  0.7500  0.2000  0.8750
W  0.7500  0.3000  0.3750
W  0.8000  0.7500  0.1250

Record 3
# MgUTeO6

MgUTeO6 after structural relaxation (GGA-PBE, Alexandria).

Calculated values
* formation energy without anion corrections: -2.174 eV/atom
* V: 246.59 Å³/cell
* E: -0.2668 hartree per atom
* symmetry: P-31c

Cell: 5.6314 5.6314 8.9789 Å, 90.00 90.00 120.00°
Sites, in units of the cell vectors:
Mg  0.0000  0.0000  0.0000
Mg  0.0000  0.0000  0.5000
U  0.3333  0.6667  0.2500
U  0.6667  0.3333  0.7500
Te  0.3333  0.6667  0.7500
Te  0.6667  0.3333  0.2500
O  0.0115  0.3449  0.1310
O  0.0115  0.6666  0.3690
O  0.3334  0.3449  0.3690
O  0.3334  0.9885  0.1310
O  0.3449  0.0115  0.6310
O  0.3449  0.3334  0.8690
O  0.6551  0.6666  0.1310
O  0.6551  0.9885  0.3690
O  0.6666  0.0115  0.8690
O  0.6666  0.6551  0.6310
O  0.9885  0.3334  0.6310
O  0.9885  0.6551  0.8690

Record 4
# Ac2GaNi3Ge4

Ac2GaNi3Ge4 after structural relaxation (GGA-PBE, Alexandria).

Calculated values
* E_form: -603 meV/atom
* V: 190.32 Å³/cell
* E: -0.1951 hartree per atom
* symmetry: P-4m2

Cell: 4.3154 4.3154 10.2198 Å, 90.00 90.00 90.00°
Sites, in units of the cell vectors:
Ac  0.0000  0.5000  0.2439
Ac  0.5000  0.0000  0.7561
Ga  0.0000  0.0000  0.5000
Ni  0.0000  0.5000  0.8824
Ni  0.5000  0.0000  0.1176
Ni  0.5000  0.5000  0.5000
Ge  0.0000  0.0000  0.0000
Ge  0.0000  0.5000  0.6406
Ge  0.5000  0.0000  0.3594
Ge  0.5000  0.5000  0.0000

Record 5
# KTcPd

KTcPd after structural relaxation (GGA-PBE, Alexandria).

Calculated values
* E_form: 633 meV/atom
* V: 259.37 Å³/cell
* E: -0.1808 hartree per atom
* energy above the most stable polymorph in this dataset: 0.3890 eV/atom
* symmetry: Cm

Cell: 9.4662 6.2579 5.1085 Å, 90.00 121.01 90.00°
Sites, in units of the cell vectors:
K  0.0000  0.0000  0.0000
K  0.2262  0.0000  0.7255
K  0.5000  0.5000  0.0000
K  0.7262  0.5000  0.7255
Tc  0.1056  0.5000  0.8518
Tc  0.1431  0.5000  0.3124
Tc  0.6056  0.0000  0.8518
Tc  0.6431  0.0000  0.3124
Pd  0.3790  0.2265  0.3720
Pd  0.3790  0.7735  0.3720
Pd  0.8790  0.2735  0.3720
Pd  0.8790  0.7265  0.3720

Record 6
# Al2RuCl

Al2RuCl after structural relaxation (GGA-PBE, Alexandria).

Calculated values
* formation energy without anion corrections: 0.306 eV/atom
* V: 128.63 Å³/cell
* E: -0.1597 hartree per atom
* energy above the most stable polymorph in this dataset: 0.9265 eV/atom
* symmetry: I-4m2

Cell: 4.0315 4.0315 7.9142 Å, 90.00 90.00 90.00°
Sites, in units of the cell vectors:
Al  0.0000  0.0000  0.0000
Al  0.0000  0.5000  0.2500
Al  0.5000  0.0000  0.7500
Al  0.5000  0.5000  0.5000
Ru  0.0000  0.0000  0.5000
Ru  0.5000  0.5000  0.0000
Cl  0.0000  0.5000  0.7500
Cl  0.5000  0.0000  0.2500

Record 7
# TbPmPb4

TbPmPb4 after structural relaxation (GGA-PBE, Alexandria).

Calculated values
* E_form: -216 meV/atom
* V: 373.04 Å³/cell
* E: -0.1562 hartree per atom
* symmetry: C2/c

Cell: 8.3071 8.3071 6.7489 Å, 106.13 106.13 112.41°
Sites, in units of the cell vectors:
Tb  0.2277  0.7723  0.7500
Tb  0.7723  0.2277  0.2500
Pm  0.0841  0.9159  0.2500
Pm  0.9159  0.0841  0.7500
Pb  0.1462  0.5023  0.2161
Pb  0.2349  0.3610  0.6271
Pb  0.3610  0.2349  0.1271
Pb  0.4977  0.8538  0.2839
Pb  0.5023  0.1462  0.7161
Pb  0.6390  0.7651  0.8729
Pb  0.7651  0.6390  0.3729
Pb  0.8538  0.4977  0.7839

Record 8
# In2TcSnBr

In2TcSnBr after structural relaxation (GGA-PBE, Alexandria).

Calculated values
* formation energy without anion corrections: 0.036 eV/atom
* V: 144.31 Å³/cell
* E: -0.1569 hartree per atom
* symmetry: P4/mmm

Cell: 5.2952 5.2952 5.1467 Å, 90.00 90.00 90.00°
Sites, in units of the cell vectors:
In  0.0000  0.5000  0.0000
In  0.5000  0.0000  0.0000
Tc  0.0000  0.0000  0.0000
Sn  0.0000  0.0000  0.5000
Br  0.5000  0.5000  0.5000

Record 9
# Fe2Rh

Fe2Rh after structural relaxation (GGA-PBE, Alexandria).

Calculated values
* E_form: 60 meV/atom
* V: 78.23 Å³/cell
* E: -0.2952 hartree per atom
* symmetry: P-3m1

Cell: 2.6866 2.6866 12.5163 Å, 90.00 90.00 120.00°
Sites, in units of the cell vectors:
Fe  0.0000  0.0000  0.0000
Fe  0.0000  0.0000  0.5000
Fe  0.3333  0.6667  0.1589
Fe  0.6667  0.3333  0.8411
Rh  0.3333  0.6667  0.6717
Rh  0.6667  0.3333  0.3283

Record 10
# Cs2AuICl6

Cs2AuICl6 after structural relaxation (GGA-PBE, Alexandria).

Calculated values
* formation energy without anion corrections: -0.975 eV/atom
* V: 358.12 Å³/cell
* E: -0.1006 hartree per atom
* symmetry: I4/mmm

Cell: 8.0488 8.0488 8.0488 Å, 121.80 121.80 86.91°
Sites, in units of the cell vectors:
Cs  0.2500  0.7500  0.5000
Cs  0.7500  0.2500  0.5000
Au  0.0000  0.0000  0.0000
I  0.5000  0.5000  0.0000
Cl  0.1995  0.1995  0.0000
Cl  0.2665  0.2665  0.5331
Cl  0.2665  0.7335  0.0000
Cl  0.7335  0.2665  0.0000
Cl  0.7335  0.7335  0.4669
Cl  0.8005  0.8005  0.0000

Record 11
# TbCu8Ag3

TbCu8Ag3 after structural relaxation (GGA-PBE, Alexandria).

Calculated values
* E_form: -64 meV/atom
* V: 177.11 Å³/cell
* E: -0.1431 hartree per atom
* symmetry: P3m1

Cell: 5.0092 5.0092 8.1506 Å, 90.00 90.00 120.00°
Sites, in units of the cell vectors:
Tb  0.0000  0.0000  0.0000
Cu  0.1659  0.3318  0.6816
Cu  0.1659  0.8341  0.6816
Cu  0.3333  0.6667  0.4340
Cu  0.3333  0.6667  0.9348
Cu  0.5022  0.0044  0.1920
Cu  0.5022  0.4978  0.1920
Cu  0.6682  0.8341  0.6816
Cu  0.9956  0.4978  0.1920
Ag  0.0000  0.0000  0.3834
Ag  0.6667  0.3333  0.4959
Ag  0.6667  0.3333  0.8618

Record 12
# SmDy12Er5

SmDy12Er5 after structural relaxation (GGA-PBE, Alexandria).

Calculated values
* E_form: 20 meV/atom
* V: 562.20 Å³/cell
* E: -0.1682 hartree per atom
* symmetry: P2/m

Cell: 10.6001 4.9971 10.6136 Å, 90.00 90.10 90.00°
Sites, in units of the cell vectors:
Sm  0.0000  0.0000  0.0000
Dy  0.9997  0.0000  0.3342
Dy  0.0003  0.0000  0.6658
Dy  0.1674  0.5000  0.1673
Dy  0.1676  0.5000  0.5004
Dy  0.3341  0.0000  0.9997
Dy  0.3340  0.0000  0.3340
Dy  0.5004  0.5000  0.1676
Dy  0.4996  0.5000  0.8324
Dy  0.6659  0.0000  0.0003
Dy  0.6660  0.0000  0.6660
Dy  0.8324  0.5000  0.4996
Dy  0.8326  0.5000  0.8327
Er  0.1676  0.5000  0.8324
Er  0.3335  0.0000  0.6666
Er  0.5000  0.5000  0.5000
Er  0.6665  0.0000  0.3334
Er  0.8324  0.5000  0.1676

Record 13
# Pr5Sm3Hg2

Pr5Sm3Hg2 after structural relaxation (GGA-PBE, Alexandria).

Calculated values
* E_form: 58 meV/atom
* V: 699.08 Å³/cell
* E: -0.1399 hartree per atom
* symmetry: Ibam

Cell: 10.6104 10.6104 10.6104 Å, 96.49 95.86 141.72°
Sites, in units of the cell vectors:
Pr  0.1836  0.0782  0.2618
Pr  0.2500  0.0199  0.7699
Pr  0.2500  0.2500  0.0000
Pr  0.2500  0.4801  0.2301
Pr  0.3164  0.5782  0.8946
Pr  0.6836  0.4218  0.1054
Pr  0.7500  0.5199  0.7699
Pr  0.7500  0.7500  0.0000
Pr  0.7500  0.9801  0.2301
Pr  0.8164  0.9218  0.7382
Sm  0.2250  0.3405  0.5655
Sm  0.2500  0.7500  0.5000
Sm  0.2750  0.8405  0.1154
Sm  0.7250  0.1595  0.8846
Sm  0.7500  0.2500  0.5000
Sm  0.7750  0.6595  0.4345
Hg  0.1196  0.6355  0.7551
Hg  0.3804  0.1355  0.5159
Hg  0.6196  0.8645  0.4841
Hg  0.8804  0.3645  0.2449

Record 14
# Tl2NiMo

Tl2NiMo after structural relaxation (GGA-PBE, Alexandria).

Calculated values
* E_form: 430 meV/atom
* V: 158.99 Å³/cell
* E: -0.1803 hartree per atom
* energy above the most stable polymorph in this dataset: 0.0000 eV/atom
* symmetry: Amm2

Cell: 3.0615 3.0187 17.2028 Å, 90.00 90.00 90.00°
Sites, in units of the cell vectors:
Tl  0.0000  0.0000  0.0000
Tl  0.0000  0.5000  0.5000
Tl  0.5000  0.0000  0.1735
Tl  0.5000  0.5000  0.6735
Ni  0.5000  0.0000  0.3833
Ni  0.5000  0.5000  0.8833
Mo  0.0000  0.0000  0.8016
Mo  0.0000  0.5000  0.3016

Record 15
# Te2MoP

Te2MoP after structural relaxation (GGA-PBE, Alexandria).

Calculated values
* formation energy without anion corrections: 0.709 eV/atom
* V: 469.17 Å³/cell
* E: -0.1809 hartree per atom
* symmetry: I-42d

Cell: 6.3634 6.3634 11.5866 Å, 90.00 90.00 90.00°
Sites, in units of the cell vectors:
Te  0.2306  0.2500  0.1250
Te  0.2500  0.7306  0.3750
Te  0.2500  0.7694  0.8750
Te  0.2694  0.2500  0.6250
Te  0.7306  0.7500  0.6250
Te  0.7500  0.2306  0.8750
Te  0.7500  0.2694  0.3750
Te  0.7694  0.7500  0.1250
Mo  0.0000  0.0000  0.0000
Mo  0.0000  0.5000  0.2500
Mo  0.5000  0.0000  0.7500
Mo  0.5000  0.5000  0.5000
P  0.0000  0.0000  0.5000
P  0.0000  0.5000  0.7500
P  0.5000  0.0000  0.2500
P  0.5000  0.5000  0.0000

Record 16
# KNa2AlSb2

KNa2AlSb2 after structural relaxation (GGA-PBE, Alexandria).

Calculated values
* formation energy without anion corrections: -0.344 eV/atom
* V: 352.19 Å³/cell
* E: -0.1089 hartree per atom
* symmetry: Pmc2_1

Cell: 4.7798 8.8719 8.3051 Å, 90.00 90.00 90.00°
Sites, in units of the cell vectors:
K  0.0000  0.0753  0.0000
K  0.0000  0.9247  0.5000
Na  0.0000  0.3309  0.3387
Na  0.0000  0.6691  0.8387
Na  0.5000  0.4223  0.0193
Na  0.5000  0.5777  0.5193
Al  0.5000  0.1668  0.6371
Al  0.5000  0.8332  0.1371
Sb  0.0000  0.3374  0.7080
Sb  0.0000  0.6626  0.2080
Sb  0.5000  0.1190  0.2954
Sb  0.5000  0.8810  0.7954

Record 17
# KIn2Pt2

KIn2Pt2 after structural relaxation (GGA-PBE, Alexandria).

Calculated values
* E_form: -376 meV/atom
* V: 241.63 Å³/cell
* E: -0.1509 hartree per atom
* energy above the most stable polymorph in this dataset: 0.0250 eV/atom
* symmetry: Cmc2_1

Cell: 7.0679 7.0679 8.5126 Å, 90.00 90.00 145.37°
Sites, in units of the cell vectors:
K  0.0892  0.9108  0.5000
K  0.9108  0.0892  0.0000
In  0.1937  0.8063  0.1177
In  0.3969  0.6031  0.3514
In  0.6031  0.3969  0.8514
In  0.8063  0.1937  0.6177
Pt  0.2365  0.7635  0.8068
Pt  0.4282  0.5718  0.6875
Pt  0.5718  0.4282  0.1875
Pt  0.7635  0.2365  0.3068

Record 18
# RbSmAgTe2

RbSmAgTe2 after structural relaxation (GGA-PBE, Alexandria).

Calculated values
* formation energy without anion corrections: -0.824 eV/atom
* V: 373.44 Å³/cell
* E: -0.1392 hartree per atom
* symmetry: P2/c

Cell: 8.5678 4.8877 8.9406 Å, 90.00 94.11 90.00°
Sites, in units of the cell vectors:
Rb  0.0000  0.0714  0.2500
Rb  0.0000  0.9286  0.7500
Sm  0.5000  0.4973  0.7500
Sm  0.5000  0.5027  0.2500
Ag  0.5000  0.0000  0.0000
Ag  0.5000  0.0000  0.5000
Te  0.2557  0.3965  0.9839
Te  0.2557  0.6035  0.4839
Te  0.7443  0.3965  0.5161
Te  0.7443  0.6035  0.0161

Record 19
# PaHg6

PaHg6 after structural relaxation (GGA-PBE, Alexandria).

Calculated values
* E_form: 750 meV/atom
* V: 485.31 Å³/cell
* E: -0.0318 hartree per atom
* symmetry: Im-3m

Cell: 7.8585 7.8585 7.8585 Å, 90.00 90.00 90.00°
Sites, in units of the cell vectors:
Pa  0.0000  0.0000  0.0000
Pa  0.5000  0.5000  0.5000
Hg  0.0000  0.2500  0.5000
Hg  0.0000  0.5000  0.2500
Hg  0.0000  0.5000  0.7500
Hg  0.0000  0.7500  0.5000
Hg  0.2500  0.0000  0.5000
Hg  0.2500  0.5000  0.0000
Hg  0.5000  0.0000  0.2500
Hg  0.5000  0.0000  0.7500
Hg  0.5000  0.2500  0.0000
Hg  0.5000  0.7500  0.0000
Hg  0.7500  0.0000  0.5000
Hg  0.7500  0.5000  0.0000

Record 20
# Y5TlHg4

Y5TlHg4 after structural relaxation (GGA-PBE, Alexandria).

Calculated values
* E_form: -485 meV/atom
* V: 262.26 Å³/cell
* E: -0.1497 hartree per atom
* symmetry: P4/mmm

Cell: 3.7396 3.7396 18.7538 Å, 90.00 90.00 90.00°
Sites, in units of the cell vectors:
Y  0.0000  0.0000  0.0000
Y  0.0000  0.0000  0.1979
Y  0.0000  0.0000  0.3945
Y  0.0000  0.0000  0.6055
Y  0.0000  0.0000  0.8021
Tl  0.5000  0.5000  0.5000
Hg  0.5000  0.5000  0.0997
Hg  0.5000  0.5000  0.2960
Hg  0.5000  0.5000  0.7040
Hg  0.5000  0.5000  0.9003

Record 21
# TcAs2

TcAs2 after structural relaxation (GGA-PBE, Alexandria).

Calculated values
* E_form: 88 meV/atom
* V: 218.67 Å³/cell
* E: -0.2377 hartree per atom
* energy above the most stable polymorph in this dataset: 0.2795 eV/atom
* symmetry: Fm-3m

Cell: 6.0247 6.0247 6.0247 Å, 90.00 90.00 90.00°
Sites, in units of the cell vectors:
Tc  0.0000  0.0000  0.0000
Tc  0.0000  0.5000  0.5000
Tc  0.5000  0.0000  0.5000
Tc  0.5000  0.5000  0.0000
As  0.2500  0.2500  0.2500
As  0.2500  0.2500  0.7500
As  0.2500  0.7500  0.2500
As  0.2500  0.7500  0.7500
As  0.7500  0.2500  0.2500
As  0.7500  0.2500  0.7500
As  0.7500  0.7500  0.2500
As  0.7500  0.7500  0.7500

Record 22
# Tl4Cd3

Tl4Cd3 after structural relaxation (GGA-PBE, Alexandria).

Calculated values
* E_form: 78 meV/atom
* V: 403.23 Å³/cell
* E: -0.0612 hartree per atom
* energy above the most stable polymorph in this dataset: 0.0674 eV/atom
* symmetry: I4/mmm

Cell: 3.3798 3.3798 35.2984 Å, 90.00 90.00 90.00°
Sites, in units of the cell vectors:
Tl  0.0000  0.0000  0.0659
Tl  0.0000  0.0000  0.3618
Tl  0.0000  0.0000  0.6382
Tl  0.0000  0.0000  0.9341
Tl  0.5000  0.5000  0.1382
Tl  0.5000  0.5000  0.4341
Tl  0.5000  0.5000  0.5659
Tl  0.5000  0.5000  0.8618
Cd  0.0000  0.0000  0.2774
Cd  0.0000  0.0000  0.5000
Cd  0.0000  0.0000  0.7226
Cd  0.5000  0.5000  0.0000
Cd  0.5000  0.5000  0.2226
Cd  0.5000  0.5000  0.7774

Record 23
# HgBiI

HgBiI after structural relaxation (GGA-PBE, Alexandria).

Calculated values
* formation energy without anion corrections: -0.099 eV/atom
* V: 238.11 Å³/cell
* E: -0.0739 hartree per atom
* energy above the most stable polymorph in this dataset: 0.0684 eV/atom
* symmetry: P-1

Cell: 5.0423 6.3773 8.0191 Å, 81.66 80.16 70.28°
Sites, in units of the cell vectors:
Hg  0.0000  0.0000  0.0000
Hg  0.0000  0.0000  0.5000
Bi  0.4392  0.8386  0.2192
Bi  0.5608  0.1614  0.7808
I  0.3496  0.3877  0.2838
I  0.6504  0.6123  0.7162